This record from Alexandria via LeMat-Bulk describes a relaxed CoP2Pb crystal. The functional is PBE.

Summary:
Symmetry = P2/m
VASP energy = -22.0 eV/cell

a b c (Å): 3.691 4.221 4.878
angles (deg): 75.09 90.00 90.00
Fractional positions:
Co 0.500 0.750 0.750
P 0.000 0.985 0.862
P 0.000 0.515 0.638
Pb 0.500 0.250 0.250

---

This record from Alexandria via LeMat-Bulk describes a relaxed CoP2Pb crystal. The functional is PBE.

Summary:
Symmetry = I-42d
VASP energy = -43.3 eV/cell

a b c (Å): 5.655 5.655 6.732
angles (deg): 65.17 65.17 90.00
Fractional positions:
Pb 0.000 0.000 0.000
Pb 0.750 0.250 0.500
P 0.527 0.125 0.250
P 0.223 0.625 0.250
P 0.375 0.473 0.750
P 0.875 0.777 0.750
Co 0.500 0.500 0.000
Co 0.250 0.750 0.500

---

This record from Alexandria via LeMat-Bulk describes a relaxed CoP2Pb crystal. The functional is PBE.

Summary:
Symmetry = Cm
VASP energy = -22.0 eV/cell

a b c (Å): 4.067 4.067 6.005
angles (deg): 78.34 78.34 50.93
Fractional positions:
Co 0.234 0.234 0.092
P 0.935 0.935 0.099
P 0.773 0.773 0.841
Pb 0.558 0.558 0.469

---

no.,DFT formation energy (meV/atom),theoretical density (kg/m3),N(E_F) (states/eV/atom)
1,-82.7,7417,0.619
2,-5.2,6291,0.731
3,-82.6,7247,0.337